LiBe2Co (PBEsol, relaxed); E_tot = -0.334 Ry/atom; formation energy = -120 meV/atom; D(E_F) = 1.336 states/eV/f.u.
1.0
-1.262 1.391 1.843
-0.436 -2.207 1.367
4.831 0.746 2.745
Be Co Li
2 1 1
Cartesian
3.864 0.597 2.195
0.967 0.149 0.550
-0.849 -0.408 1.605
1.566 -0.035 2.978